# 1
A relaxed CrRe2Pt crystal. Source: Alexandria, functional PBE. Values from VASP.

```
&SYSTEM
  ibrav = 0, nat = 4, ntyp = 3
/
ATOMIC_SPECIES
Cr 52.00 Cr.upf
Pt 195.08 Pt.upf
Re 186.21 Re.upf
CELL_PARAMETERS angstrom
-3.328 0.657 -1.758
-1.847 -1.779 2.833
-0.341 3.408 1.918
ATOMIC_POSITIONS crystal
Cr 0.500 0.000 0.500
Pt 0.000 0.500 0.500
Re 0.000 0.000 0.000
Re 0.500 0.500 0.000
```

Output
- N(E_F) (states/eV/f.u.) = 3.34
- energy of formation from the pure elements (eV/atom) = -0.06



# 2
A relaxed Cr2RePt crystal. Source: Alexandria, functional PBE. Values from VASP.

```
&SYSTEM
  ibrav = 0, nat = 4, ntyp = 3
/
ATOMIC_SPECIES
Cr 52.00 Cr.upf
Pt 195.08 Pt.upf
Re 186.21 Re.upf
CELL_PARAMETERS angstrom
-2.428 2.886 2.083
-1.242 -0.756 4.055
1.682 2.298 3.232
ATOMIC_POSITIONS crystal
Cr 0.000 0.000 0.000
Cr 0.750 0.750 0.750
Pt 0.500 0.500 0.500
Re 0.250 0.250 0.250
```

Output
- N(E_F) (states/eV/f.u.) = 5.03
- energy of formation from the pure elements (eV/atom) = 0.25



# 3
A relaxed CrRePt3 crystal. Source: Alexandria, functional PBE. Values from VASP.

```
&SYSTEM
  ibrav = 0, nat = 5, ntyp = 3
/
ATOMIC_SPECIES
Re 186.21 Re.upf
Pt 195.08 Pt.upf
Cr 52.00 Cr.upf
CELL_PARAMETERS angstrom
-2.681 -1.340 -3.403
3.540 0.109 -2.832
0.919 -4.331 0.982
ATOMIC_POSITIONS crystal
Re 0.500 0.500 0.500
Pt 0.000 0.500 0.000
Pt 0.500 0.000 0.000
Pt 0.000 0.000 0.500
Cr 0.000 0.000 0.000
```

Output
- N(E_F) (states/eV/f.u.) = 5.86
- energy of formation from the pure elements (eV/atom) = 1.50